1.
Material: AlPt
Method: DFT, PBE
State: optimized geometry

The formation enthalpy at 0 K comes out at -0.844 eV per atom. The value obtained for the electronic total energy is -34.413 eV per cell.

Lattice parameters (Å, degrees): 5.4180 5.4180 4.1706 90.00 90.00 120.00
Space group P-62m (No. 189)
Asymmetric unit:
Al 0.0000 0.0000 0.0000 [1 per cell]
Al 0.3333 0.6667 0.5000 [2 per cell]
Pt 0.0000 0.4639 0.0000 [3 per cell]


2.
Material: AlPt3
Method: DFT, PBE
State: optimized geometry

The formation enthalpy at 0 K comes out at -0.354 eV per atom. The value obtained for the electronic total energy is -93.124 eV per cell.

Lattice parameters (Å, degrees): 8.016 7.935 4.218 90.00 90.00 90.00
Space group Cmcm (No. 63)
Asymmetric unit:
Al 0.000 0.111 0.250 [4 per cell]
Pt 0.000 0.412 0.250 [4 per cell]
Pt 0.175 0.156 0.750 [8 per cell]


3.
Material: Al5Pt
Method: DFT, PBE
State: optimized geometry

The formation enthalpy at 0 K comes out at 0.072 eV per atom. The value obtained for the electronic total energy is -97.296 eV per cell.

Lattice parameters (Å, degrees): 7.343 7.343 7.343 90.00 90.00 90.00
Space group F-43m (No. 216)
Asymmetric unit:
Al 0.000 0.000 0.000 [4 per cell]
Al 0.126 0.126 0.626 [16 per cell]
Pt 0.250 0.250 0.250 [4 per cell]